i) This record from Alexandria describes Na5Fe2P2C2O14 after structural relaxation. The functional is PBE with a Hubbard U. Values from VASP.

Calculated values
- mass density (g/cm3) = 2.83

Geometry as Quantum ESPRESSO input:
```
&SYSTEM
  ibrav = 0, nat = 50, ntyp = 5
/
ATOMIC_SPECIES
Na 22.99 Na.upf
Fe 55.84 Fe.upf
P 30.97 P.upf
C 12.01 C.upf
O 16.00 O.upf
CELL_PARAMETERS angstrom
6.622 0.000 0.000
-0.240 9.024 0.000
-0.019 -0.277 10.525
ATOMIC_POSITIONS crystal
Na 0.001 0.267 0.383
Na 0.012 0.259 0.865
Na 0.269 0.092 0.615
Na 0.272 0.074 0.116
Na 0.491 0.278 0.380
Na 0.509 0.722 0.620
Na 0.728 0.926 0.884
Na 0.731 0.908 0.385
Na 0.988 0.741 0.135
Na 0.999 0.733 0.617
Fe 0.258 0.656 0.377
Fe 0.264 0.648 0.902
Fe 0.736 0.352 0.098
Fe 0.742 0.344 0.623
P 0.243 0.423 0.646
P 0.244 0.416 0.139
P 0.756 0.584 0.861
P 0.757 0.577 0.354
C 0.237 0.921 0.855
C 0.254 0.948 0.366
C 0.746 0.052 0.634
C 0.763 0.079 0.145
O 0.058 0.316 0.621
O 0.058 0.318 0.095
O 0.208 0.056 0.832
O 0.239 0.443 0.285
O 0.239 0.563 0.566
O 0.241 0.471 0.791
O 0.244 0.567 0.072
O 0.248 0.092 0.362
O 0.251 0.867 0.263
O 0.254 0.872 0.971
O 0.256 0.818 0.764
O 0.264 0.884 0.476
O 0.431 0.330 0.614
O 0.433 0.324 0.104
O 0.567 0.676 0.896
O 0.569 0.670 0.386
O 0.736 0.116 0.524
O 0.744 0.182 0.236
O 0.746 0.128 0.029
O 0.749 0.133 0.737
O 0.752 0.908 0.638
O 0.756 0.433 0.928
O 0.759 0.529 0.209
O 0.761 0.437 0.434
O 0.761 0.557 0.715
O 0.792 0.944 0.168
O 0.942 0.682 0.905
O 0.942 0.684 0.379
```

ii) This record from Alexandria describes Na5Fe2P2C2O14 after structural relaxation. The functional is PBE with a Hubbard U. Values from VASP.

Calculated values
- mass density (g/cm3) = 2.84

Geometry as Quantum ESPRESSO input:
```
&SYSTEM
  ibrav = 0, nat = 50, ntyp = 5
/
ATOMIC_SPECIES
Na 22.99 Na.upf
Fe 55.84 Fe.upf
P 30.97 P.upf
C 12.01 C.upf
O 16.00 O.upf
CELL_PARAMETERS angstrom
10.347 0.000 0.000
0.000 6.614 0.000
-5.208 0.000 9.154
ATOMIC_POSITIONS crystal
Na 0.000 0.004 0.000
Na 0.000 0.996 0.500
Na 0.160 0.482 0.846
Na 0.160 0.518 0.346
Na 0.349 0.246 0.685
Na 0.349 0.250 0.189
Na 0.349 0.750 0.689
Na 0.349 0.754 0.185
Na 0.814 0.223 0.169
Na 0.814 0.777 0.669
Fe 0.441 0.001 0.996
Fe 0.441 0.999 0.496
Fe 0.742 0.496 0.867
Fe 0.742 0.504 0.367
P 0.509 0.500 0.002
P 0.509 0.500 0.502
P 0.670 0.004 0.370
P 0.670 0.996 0.870
C 0.022 0.499 0.535
C 0.022 0.501 0.035
C 0.151 0.008 0.321
C 0.151 0.992 0.821
O 0.011 0.026 0.238
O 0.011 0.974 0.738
O 0.165 0.498 0.619
O 0.165 0.502 0.119
O 0.210 0.004 0.964
O 0.210 0.996 0.464
O 0.241 0.003 0.768
O 0.241 0.997 0.268
O 0.407 0.316 0.979
O 0.407 0.684 0.479
O 0.410 0.314 0.482
O 0.410 0.686 0.982
O 0.521 0.003 0.225
O 0.521 0.997 0.725
O 0.554 0.500 0.379
O 0.554 0.500 0.879
O 0.642 0.008 0.501
O 0.642 0.992 0.001
O 0.652 0.492 0.152
O 0.652 0.508 0.652
O 0.765 0.190 0.886
O 0.765 0.810 0.386
O 0.767 0.189 0.375
O 0.767 0.811 0.875
O 0.931 0.492 0.086
O 0.931 0.508 0.586
O 0.962 0.490 0.393
O 0.962 0.510 0.893
```

iii) This record from Alexandria describes Na5Fe2P2C2O14 after structural relaxation. The functional is PBE with a Hubbard U. Values from VASP.

Calculated values
- mass density (g/cm3) = 2.92

Geometry as Quantum ESPRESSO input:
```
&SYSTEM
  ibrav = 0, nat = 50, ntyp = 5
/
ATOMIC_SPECIES
Na 22.99 Na.upf
Fe 55.84 Fe.upf
P 30.97 P.upf
C 12.01 C.upf
O 16.00 O.upf
CELL_PARAMETERS angstrom
5.228 0.000 0.000
-0.002 6.533 0.000
-0.315 -0.004 17.882
ATOMIC_POSITIONS crystal
Na 0.000 0.000 0.000
Na 0.000 0.034 0.500
Na 0.480 0.294 0.405
Na 0.480 0.541 0.074
Na 0.480 0.739 0.905
Na 0.481 0.492 0.574
Na 0.979 0.725 0.671
Na 0.980 0.307 0.171
Na 0.987 0.808 0.171
Na 0.988 0.224 0.671
Fe 0.021 0.574 0.371
Fe 0.022 0.460 0.871
Fe 0.461 0.073 0.217
Fe 0.461 0.960 0.717
P 0.526 0.463 0.752
P 0.526 0.570 0.252
P 0.944 0.065 0.333
P 0.944 0.968 0.833
C 0.510 0.006 0.074
C 0.510 0.027 0.574
C 0.970 0.503 0.003
C 0.971 0.530 0.503
O 0.012 0.874 0.382
O 0.015 0.159 0.882
O 0.031 0.778 0.882
O 0.033 0.254 0.381
O 0.082 0.060 0.257
O 0.082 0.971 0.757
O 0.191 0.476 0.971
O 0.191 0.558 0.471
O 0.289 0.060 0.101
O 0.290 0.972 0.601
O 0.360 0.473 0.822
O 0.361 0.563 0.322
O 0.471 0.275 0.702
O 0.472 0.758 0.202
O 0.474 0.385 0.199
O 0.477 0.648 0.699
O 0.521 0.138 0.515
O 0.522 0.895 0.015
O 0.653 0.080 0.319
O 0.653 0.955 0.819
O 0.720 0.062 0.109
O 0.720 0.972 0.609
O 0.775 0.481 0.958
O 0.775 0.549 0.457
O 0.819 0.465 0.775
O 0.819 0.567 0.275
O 0.952 0.546 0.073
O 0.953 0.486 0.573
```

Verdict on stability: i) comes out on top.